one) The following is a DFT calculation (GGA-PBE) of a relaxed ZrCuH2 crystal.

Structure (POSCAR):
```
ZrCuH2
1.0
5.742 0.000 0.000
0.000 5.714 0.000
-2.626 0.000 4.923
Zr Cu H
4 4 8
direct
0.240 0.125 0.250
0.240 0.375 0.750
0.760 0.625 0.250
0.760 0.875 0.750
0.284 0.617 0.291
0.284 0.883 0.791
0.716 0.117 0.209
0.716 0.383 0.709
0.019 0.685 0.657
0.019 0.815 0.157
0.489 0.155 0.663
0.489 0.345 0.163
0.511 0.655 0.837
0.511 0.845 0.337
0.981 0.185 0.843
0.981 0.315 0.343
```

Output
For the total moment, the calculation gives 0.000 μB per atom. As for the volume: 161.5 Å³ per cell.

---

two) The following is a DFT calculation (GGA-PBE) of a relaxed ZrCuH2 crystal.

Structure (POSCAR):
```
ZrCuH2
1.0
0.000 2.687 2.687
2.687 0.000 2.687
2.687 2.687 0.000
Zr Cu H
1 1 2
direct
0.000 0.000 0.000
0.500 0.500 0.500
0.250 0.250 0.250
0.750 0.750 0.750
```

Output
For the total moment, the calculation gives 0.000 μB per atom. As for the volume: 38.8 Å³ per cell.

---

Most stable to least stable, the ends of the list are one) and two).

---

one) The following is a DFT calculation (GGA-PBE) of a relaxed ZrCu2H crystal.

Structure (POSCAR):
```
ZrCu2H
1.0
-2.634 2.634 3.733
2.634 -2.634 3.733
2.634 2.634 -3.733
Zr Cu H
2 4 2
direct
0.375 0.625 0.750
0.625 0.375 0.250
0.000 0.000 0.000
0.000 0.000 0.500
0.000 0.500 0.000
0.500 0.000 0.500
0.125 0.875 0.250
0.875 0.125 0.750
```

Output
For the total moment, the calculation gives 0.331 μB per atom. As for the volume: 103.6 Å³ per cell.

---

two) The following is a DFT calculation (GGA-PBE) of a relaxed ZrCu2H crystal.

Structure (POSCAR):
```
ZrCu2H
1.0
0.000 3.043 3.043
3.043 0.000 3.043
3.043 3.043 0.000
Zr Cu H
1 2 1
direct
0.000 0.000 0.000
0.250 0.250 0.250
0.750 0.750 0.750
0.500 0.500 0.500
```

Output
For the total moment, the calculation gives 0.000 μB per atom. As for the volume: 56.4 Å³ per cell.

---

Most stable to least stable, the ends of the list are one) and two).